# 1
Compound: PmZrGa3
Source: Alexandria
Functional: PBE
Structure: optimized geometry

Computed properties:
ρ ... 7.0 g/cm³
Energy relative to the elements ... -623 meV/atom
E ... -5.10 eV/atom

Geometry as extended XYZ:
```
10
Lattice="2.040 -12.633 0.000 2.040 12.633 0.000 0.000 0.000 4.094" Properties=species:S:1:pos:R:3 pbc="T T T"
Pm 2.040 10.708 3.071
Pm 2.040 -10.708 1.024
Zr 2.040 7.428 1.024
Zr 2.040 -7.428 3.071
Ga 2.040 4.632 1.024
Ga 2.040 3.140 3.071
Ga 2.040 0.645 3.071
Ga 2.040 -0.645 1.024
Ga 2.040 -3.140 1.024
Ga 2.040 -4.632 3.071
```

***

# 2
Compound: PmZr4Ga4
Source: Alexandria
Functional: PBE
Structure: optimized geometry

Computed properties:
ρ ... 5.9 g/cm³
Energy relative to the elements ... -256 meV/atom
E ... -5.93 eV/atom

Geometry as extended XYZ:
```
18
Lattice="9.063 0.000 0.000 0.000 9.063 0.000 0.000 0.000 5.418" Properties=species:S:1:pos:R:3 pbc="T T T"
Pm 2.266 2.266 1.354
Pm 6.797 6.797 4.063
Zr 1.089 5.800 0.767
Zr 1.268 7.974 3.476
Zr 3.263 5.620 3.476
Zr 3.442 7.795 0.767
Zr 5.620 1.268 4.651
Zr 5.800 3.442 1.942
Zr 7.795 1.089 1.942
Zr 7.974 3.263 4.651
Ga 0.535 5.253 3.559
Ga 0.722 8.528 0.850
Ga 3.810 5.067 0.850
Ga 3.996 8.341 3.559
Ga 5.067 0.722 1.859
Ga 5.253 3.996 4.567
Ga 8.341 0.535 4.567
Ga 8.528 3.810 1.859
```

***

# 3
Compound: PrGa6
Source: Alexandria
Functional: PBE
Structure: optimized geometry

Computed properties:
ρ ... 5.5 g/cm³
Offset from the most stable computed form ... 0.364 eV/atom
Energy relative to the elements ... 17 meV/atom
E ... -3.26 eV/atom

Geometry as extended XYZ:
```
7
Lattice="-3.482 3.482 3.482 3.482 -3.482 3.482 3.482 3.482 -3.482" Properties=species:S:1:pos:R:3 pbc="T T T"
Pr 0.000 0.000 0.000
Ga 3.482 1.741 0.000
Ga 3.482 0.000 1.741
Ga 1.741 3.482 0.000
Ga 1.741 0.000 3.482
Ga 0.000 3.482 1.741
Ga 0.000 1.741 3.482
```

***

# 4
Compound: Pr3Ga2
Source: Alexandria
Functional: PBE
Structure: optimized geometry

Computed properties:
ρ ... 6.3 g/cm³
Energy relative to the elements ... -351 meV/atom
E ... -4.43 eV/atom

Geometry as extended XYZ:
```
5
Lattice="4.502 -2.585 0.000 4.502 2.585 0.000 -0.026 0.000 6.372" Properties=species:S:1:pos:R:3 pbc="T T T"
Pr 0.000 0.000 0.000
Pr 2.990 0.000 4.196
Pr 5.987 0.000 2.176
Ga 2.987 0.000 1.062
Ga 5.990 0.000 5.310
```

***

# 5
Compound: PrGa5
Source: Alexandria
Functional: PBE
Structure: optimized geometry

Computed properties:
ρ ... 6.6 g/cm³
Offset from the most stable computed form ... 0.000 eV/atom
Energy relative to the elements ... -341 meV/atom
E ... -3.66 eV/atom

Geometry as extended XYZ:
```
6
Lattice="-2.121 3.333 4.368 2.121 -3.333 4.368 2.121 3.333 -4.368" Properties=species:S:1:pos:R:3 pbc="T T T"
Pr 0.000 0.000 0.000
Ga 2.121 1.966 -1.413
Ga 2.121 1.966 1.413
Ga 0.000 3.333 0.000
Ga 0.000 1.367 2.956
Ga 0.000 1.367 5.781
```

***

# 6
Compound: Pr8Ga3
Source: Alexandria
Functional: PBE
Structure: optimized geometry

Computed properties:
ρ ... 6.0 g/cm³
Energy relative to the elements ... -123 meV/atom
E ... -4.42 eV/atom

Geometry as extended XYZ:
```
11
Lattice="5.047 2.914 4.195 -5.047 2.914 4.195 0.000 -5.828 4.195" Properties=species:S:1:pos:R:3 pbc="T T T"
Pr 0.000 0.000 1.850
Pr -2.329 0.350 4.874
Pr 0.862 -2.192 4.874
Pr -1.467 -1.842 7.711
Pr 1.467 1.842 4.874
Pr -0.862 2.192 7.711
Pr 2.329 -0.350 7.711
Pr 0.000 0.000 10.735
Ga -5.047 0.000 6.293
Ga -2.524 1.457 2.098
Ga 2.524 1.457 2.098
```

***

# 7
Compound: Pr4Ga
Source: Alexandria
Functional: PBE
Structure: optimized geometry

Computed properties:
ρ ... 5.5 g/cm³
Offset from the most stable computed form ... 0.172 eV/atom
Energy relative to the elements ... 99 meV/atom
E ... -4.33 eV/atom

Geometry as extended XYZ:
```
5
Lattice="5.750 0.000 0.000 0.000 5.750 0.000 0.000 0.000 5.750" Properties=species:S:1:pos:R:3 pbc="T T T"
Pr 0.000 0.000 0.000
Pr 0.000 2.875 2.875
Pr 2.875 0.000 2.875
Pr 2.875 2.875 0.000
Ga 2.875 2.875 2.875
```

***

# 8
Compound: Pr2Ga3
Source: Alexandria
Functional: PBE
Structure: optimized geometry

Computed properties:
ρ ... 6.6 g/cm³
Energy relative to the elements ... -650 meV/atom
E ... -4.38 eV/atom

Geometry as extended XYZ:
```
10
Lattice="2.200 -13.214 0.000 2.200 13.214 0.000 0.000 0.000 4.265" Properties=species:S:1:pos:R:3 pbc="T T T"
Pr 2.200 11.319 3.199
Pr 2.200 7.856 1.066
Pr 2.200 -7.856 3.199
Pr 2.200 -11.319 1.066
Ga 2.200 4.533 1.066
Ga 2.200 3.106 3.199
Ga 2.200 0.619 3.199
Ga 2.200 -0.619 1.066
Ga 2.200 -3.106 1.066
Ga 2.200 -4.533 3.199
```

***

# 9
Compound: PrGa
Source: Alexandria
Functional: PBE
Structure: optimized geometry

Computed properties:
ρ ... 6.5 g/cm³
Energy relative to the elements ... -580 meV/atom
E ... -4.48 eV/atom

Geometry as extended XYZ:
```
4
Lattice="2.260 -5.699 0.000 2.260 5.699 0.000 0.000 0.000 4.195" Properties=species:S:1:pos:R:3 pbc="T T T"
Pr 2.260 4.091 3.146
Pr 2.260 -4.091 1.049
Ga 2.260 0.804 3.146
Ga 2.260 -0.804 1.049
```

***

# 10
Compound: Pr3Ga8
Source: Alexandria
Functional: PBE
Structure: optimized geometry

Computed properties:
ρ ... 6.8 g/cm³
Energy relative to the elements ... -602 meV/atom
E ... -4.11 eV/atom

Geometry as extended XYZ:
```
11
Lattice="-2.161 2.167 12.764 2.161 -2.167 12.764 2.161 2.167 -12.764" Properties=species:S:1:pos:R:3 pbc="T T T"
Pr 0.000 0.000 0.000
Pr 2.161 0.000 3.711
Pr 0.000 2.167 9.053
Ga 0.000 0.000 6.382
Ga 2.161 0.000 7.874
Ga 2.161 0.000 10.343
Ga 0.000 0.000 11.531
Ga 0.000 0.000 13.998
Ga 0.000 2.167 2.421
Ga 0.000 2.167 4.890
Ga 0.000 0.000 19.146
```

***

# 11
Compound: PrGa4
Source: Alexandria
Functional: PBE
Structure: optimized geometry

Computed properties:
ρ ... 6.8 g/cm³
Offset from the most stable computed form ... 0.000 eV/atom
Energy relative to the elements ... -451 meV/atom
E ... -3.83 eV/atom

Geometry as extended XYZ:
```
10
Lattice="-2.291 3.258 6.857 2.291 -3.258 6.857 2.291 3.258 -6.857" Properties=species:S:1:pos:R:3 pbc="T T T"
Pr 0.000 1.629 1.589
Pr 2.291 1.629 5.268
Ga 2.291 0.000 0.000
Ga 2.291 -1.629 5.344
Ga 2.291 -0.313 2.731
Ga 2.291 2.946 -2.731
Ga 0.000 0.000 6.857
Ga 0.000 0.313 9.588
Ga 0.000 3.571 4.126
Ga 0.000 4.888 1.513
```

***

# 12
Compound: PrGa6
Source: Alexandria
Functional: PBE
Structure: optimized geometry

Computed properties:
ρ ... 6.5 g/cm³
Offset from the most stable computed form ... 0.000 eV/atom
Energy relative to the elements ... -347 meV/atom
E ... -3.62 eV/atom

Geometry as extended XYZ:
```
14
Lattice="6.076 0.000 0.000 0.000 6.076 0.000 0.000 0.000 7.702" Properties=species:S:1:pos:R:3 pbc="T T T"
Pr 1.519 4.557 0.000
Pr 4.557 1.519 0.000
Ga 0.375 3.413 2.707
Ga 0.375 5.701 4.995
Ga 1.519 1.519 1.257
Ga 1.519 1.519 6.444
Ga 2.663 3.413 4.995
Ga 2.663 5.701 2.707
Ga 3.413 0.375 4.995
Ga 3.413 2.663 2.707
Ga 4.557 4.557 1.257
Ga 4.557 4.557 6.444
Ga 5.701 0.375 2.707
Ga 5.701 2.663 4.995
```

***

# 13
Compound: PrGa
Source: Alexandria
Functional: PBE
Structure: optimized geometry

Computed properties:
ρ ... 7.0 g/cm³
Energy relative to the elements ... -530 meV/atom
E ... -4.43 eV/atom

Geometry as extended XYZ:
```
8
Lattice="4.572 -3.790 0.000 4.572 3.790 0.000 0.000 0.000 5.767" Properties=species:S:1:pos:R:3 pbc="T T T"
Pr 1.665 1.224 1.442
Pr 1.665 -1.224 4.325
Pr 7.480 1.224 1.442
Pr 7.480 -1.224 4.325
Ga 4.572 2.347 1.442
Ga 4.572 0.000 0.000
Ga 4.572 0.000 2.883
Ga 4.572 -2.347 4.325
```

***

# 14
Compound: Pr13Ga2
Source: Alexandria
Functional: PBE
Structure: optimized geometry

Computed properties:
ρ ... 6.4 g/cm³
Energy relative to the elements ... -88 meV/atom
E ... -4.63 eV/atom

Geometry as extended XYZ:
```
15
Lattice="6.830 0.000 0.000 1.491 8.472 0.000 1.420 4.031 8.818" Properties=species:S:1:pos:R:3 pbc="T T T"
Pr 0.000 0.000 0.000
Pr 1.080 3.177 2.937
Pr 2.741 6.916 3.184
Pr 2.516 4.974 0.119
Pr 3.512 6.072 6.781
Pr 3.322 1.133 1.317
Pr 5.212 8.843 5.061
Pr 4.530 3.660 3.757
Pr 6.420 11.370 7.501
Pr 6.229 6.432 2.038
Pr 7.226 7.530 8.699
Pr 7.001 5.587 5.634
Pr 8.661 9.327 5.881
Ga 2.282 3.221 5.916
Ga 7.459 9.283 2.902
```

***

# 15
Compound: PrGa
Source: Alexandria
Functional: PBE
Structure: optimized geometry

Computed properties:
ρ ... 5.9 g/cm³
Energy relative to the elements ... -259 meV/atom
E ... -4.16 eV/atom

Geometry as extended XYZ:
```
2
Lattice="0.000 3.099 3.099 3.099 0.000 3.099 3.099 3.099 0.000" Properties=species:S:1:pos:R:3 pbc="T T T"
Pr 0.000 0.000 0.000
Ga 3.099 3.099 3.099
```

***

# 16
Compound: PrGa5
Source: Alexandria
Functional: PBE
Structure: optimized geometry

Computed properties:
ρ ... 6.6 g/cm³
Offset from the most stable computed form ... 0.028 eV/atom
Energy relative to the elements ... -313 meV/atom
E ... -3.63 eV/atom

Geometry as extended XYZ:
```
6
Lattice="2.201 -6.187 0.000 2.201 6.187 0.000 0.000 0.000 4.507" Properties=species:S:1:pos:R:3 pbc="T T T"
Pr 0.000 0.000 0.000
Ga 2.201 4.007 2.254
Ga 2.201 2.300 0.000
Ga 2.201 0.000 2.254
Ga 2.201 -2.300 0.000
Ga 2.201 -4.007 2.254
```

***

# 17
Compound: PrGa4
Source: Alexandria
Functional: PBE
Structure: optimized geometry

Computed properties:
ρ ... 5.8 g/cm³
Offset from the most stable computed form ... 0.338 eV/atom
Energy relative to the elements ... -112 meV/atom
E ... -3.49 eV/atom

Geometry as extended XYZ:
```
20
Lattice="9.272 0.000 0.000 0.000 9.272 0.000 0.000 0.000 5.547" Properties=species:S:1:pos:R:3 pbc="T T T"
Pr 1.414 3.222 0.000
Pr 3.222 7.858 0.000
Pr 6.050 1.414 0.000
Pr 7.858 6.050 0.000
Ga 0.000 0.000 1.179
Ga 0.000 0.000 4.368
Ga 0.914 5.550 2.773
Ga 0.988 1.816 2.773
Ga 1.816 8.284 2.773
Ga 2.820 3.648 2.773
Ga 3.648 6.452 2.773
Ga 3.722 0.914 2.773
Ga 4.636 4.636 1.179
Ga 4.636 4.636 4.368
Ga 5.550 8.358 2.773
Ga 5.624 2.820 2.773
Ga 6.452 5.624 2.773
Ga 7.456 0.988 2.773
Ga 8.284 7.456 2.773
Ga 8.358 3.722 2.773
```

***

# 18
Compound: Pr9Ga4
Source: Alexandria
Functional: PBE
Structure: optimized geometry

Computed properties:
ρ ... 6.6 g/cm³
Energy relative to the elements ... -359 meV/atom
E ... -4.60 eV/atom

Geometry as extended XYZ:
```
13
Lattice="-6.092 6.092 2.619 6.092 -6.092 2.619 6.092 6.092 -2.619" Properties=species:S:1:pos:R:3 pbc="T T T"
Pr 0.000 0.000 0.000
Pr 7.646 1.151 0.000
Pr 4.738 3.833 0.000
Pr 1.151 4.538 0.000
Pr 2.259 -1.354 2.619
Pr 3.833 7.447 0.000
Pr 4.942 1.554 2.619
Pr 1.354 2.259 2.619
Pr -1.554 4.942 2.619
Ga 2.813 1.389 0.000
Ga 4.704 -3.280 2.619
Ga 1.389 9.372 0.000
Ga 3.280 4.704 2.619
```

***

# 19
Compound: Pr4Ga
Source: Alexandria
Functional: PBE
Structure: optimized geometry

Computed properties:
ρ ... 6.1 g/cm³
Offset from the most stable computed form ... 0.000 eV/atom
Energy relative to the elements ... -73 meV/atom
E ... -4.50 eV/atom

Geometry as extended XYZ:
```
10
Lattice="-4.667 4.667 3.983 4.667 -4.667 3.983 4.667 4.667 -3.983" Properties=species:S:1:pos:R:3 pbc="T T T"
Pr 2.899 2.334 -0.285
Pr 6.436 2.334 -0.285
Pr 0.000 0.565 1.706
Pr 4.667 0.565 2.277
Pr 0.000 4.102 1.706
Pr 4.667 4.102 2.277
Pr -1.769 2.334 4.269
Pr 1.769 2.334 4.269
Ga 4.667 -2.334 2.987
Ga 0.000 7.001 0.996
```

***

# 20
Compound: PrGa4
Source: Alexandria
Functional: PBE
Structure: optimized geometry

Computed properties:
ρ ... 3.8 g/cm³
Offset from the most stable computed form ... 1.180 eV/atom
Energy relative to the elements ... 729 meV/atom
E ... -2.65 eV/atom

Geometry as extended XYZ:
```
5
Lattice="5.677 0.000 0.000 0.000 5.677 0.000 0.000 0.000 5.677" Properties=species:S:1:pos:R:3 pbc="T T T"
Pr 0.000 0.000 0.000
Ga 0.000 0.000 2.839
Ga 0.000 2.839 0.000
Ga 2.839 0.000 0.000
Ga 2.839 2.839 2.839
```

***

# 21
Compound: Pr2Ga
Source: Alexandria
Functional: PBE
Structure: optimized geometry

Computed properties:
ρ ... 6.7 g/cm³
Energy relative to the elements ... -382 meV/atom
E ... -4.58 eV/atom

Geometry as extended XYZ:
```
12
Lattice="6.790 0.000 0.000 0.000 5.241 0.000 0.000 0.000 9.808" Properties=species:S:1:pos:R:3 pbc="T T T"
Pr 0.074 1.310 1.901
Pr 1.254 1.310 5.718
Pr 2.141 3.931 0.814
Pr 3.321 3.931 6.805
Pr 3.469 1.310 3.003
Pr 4.649 1.310 8.994
Pr 5.536 3.931 4.090
Pr 6.716 3.931 7.907
Ga 1.444 1.310 8.847
Ga 1.951 3.931 3.943
Ga 4.839 1.310 5.865
Ga 5.346 3.931 0.961
```

***

# 22
Compound: Pr3Ga2Pt
Source: Alexandria
Functional: PBE
Structure: optimized geometry

Computed properties:
ρ ... 7.8 g/cm³
Energy relative to the elements ... -726 meV/atom
E ... -5.13 eV/atom

Geometry as extended XYZ:
```
24
Lattice="12.295 0.000 0.000 0.000 4.460 0.000 0.000 0.000 11.697" Properties=species:S:1:pos:R:3 pbc="T T T"
Pr 0.597 1.115 1.460
Pr 1.453 3.345 6.509
Pr 2.798 1.115 9.346
Pr 3.349 3.345 3.498
Pr 4.694 1.115 0.660
Pr 5.550 3.345 7.308
Pr 6.745 1.115 4.389
Pr 7.601 3.345 11.036
Pr 8.945 1.115 8.199
Pr 9.497 3.345 2.351
Pr 10.841 1.115 5.188
Pr 11.697 3.345 10.237
Ga 0.166 3.345 3.566
Ga 2.374 3.345 0.058
Ga 3.773 1.115 5.906
Ga 5.981 1.115 9.414
Ga 6.313 3.345 2.282
Ga 8.521 3.345 5.791
Ga 9.920 1.115 11.639
Ga 12.129 1.115 8.131
Pt 1.529 1.115 4.394
Pt 4.619 3.345 10.242
Pt 7.676 1.115 1.454
Pt 10.766 3.345 7.302
```